No. 1
# MgTiSn4

A relaxed MgTiSn4 crystal (PBE, the Alexandria database).

The magnetization is 0.00 μB/f.u. The density of states at the Fermi level comes out at 0.919 states/eV/atom. Its symmetry is I4/mcm. As for the formation enthalpy at 0 K: -0.10 eV/atom.

Geometry as POSCAR:
```
MgTiSn4
1.0
-1.554 6.219 -2.748
2.130 -2.231 -6.254
-5.775 -3.891 3.309
Ti Mg Sn
2 2 8
direct
0.750 0.750 0.500
0.250 0.250 0.500
0.500 0.500 0.000
0.000 0.000 0.000
0.517 0.017 0.722
0.295 0.483 0.278
0.205 0.705 0.722
0.017 0.205 0.722
0.705 0.517 0.722
0.795 0.295 0.278
0.983 0.795 0.278
0.483 0.983 0.278
```

No. 2
# Mg3Ti12Sn5

A relaxed Mg3Ti12Sn5 crystal (PBE, the Alexandria database).

The magnetization is 8.23 μB/f.u. The density of states at the Fermi level comes out at 1.291 states/eV/atom. Its symmetry is Ia-3d. As for the formation enthalpy at 0 K: 0.73 eV/atom.

Geometry as POSCAR:
```
Mg3Ti12Sn5
1.0
-1.877 -1.668 13.647
1.283 -12.424 -6.045
11.509 7.430 -2.212
Sn Ti Mg
20 48 12
direct
0.500 0.500 0.000
0.125 0.375 0.250
0.250 0.375 0.625
0.625 0.875 0.250
0.875 0.625 0.750
0.000 0.000 0.000
0.000 0.500 0.000
0.125 0.750 0.375
0.500 0.000 0.000
0.250 0.875 0.125
0.375 0.125 0.750
0.000 0.000 0.500
0.750 0.125 0.875
0.625 0.750 0.875
0.375 0.250 0.125
0.500 0.500 0.500
0.875 0.250 0.625
0.500 0.000 0.500
0.000 0.500 0.500
0.750 0.625 0.375
0.350 0.926 0.773
0.150 0.423 0.076
0.923 0.076 0.650
0.424 0.074 0.347
0.576 0.650 0.423
0.076 0.923 0.150
0.850 0.273 0.426
0.077 0.924 0.350
0.426 0.653 0.076
0.153 0.077 0.727
0.653 0.426 0.576
0.424 0.350 0.577
0.924 0.847 0.574
0.347 0.773 0.423
0.574 0.227 0.150
0.577 0.727 0.653
0.773 0.347 0.923
0.347 0.574 0.424
0.426 0.773 0.850
0.077 0.153 0.227
0.576 0.926 0.653
0.076 0.153 0.426
0.727 0.577 0.153
0.273 0.423 0.847
0.773 0.426 0.350
0.727 0.150 0.074
0.074 0.650 0.727
0.350 0.424 0.077
0.650 0.576 0.923
0.574 0.347 0.924
0.074 0.424 0.847
0.847 0.923 0.273
0.847 0.924 0.074
0.150 0.727 0.574
0.850 0.577 0.924
0.923 0.847 0.773
0.926 0.350 0.273
0.924 0.077 0.850
0.423 0.273 0.347
0.227 0.574 0.650
0.653 0.227 0.577
0.650 0.074 0.227
0.227 0.653 0.077
0.423 0.150 0.576
0.926 0.576 0.153
0.273 0.850 0.926
0.153 0.076 0.926
0.577 0.850 0.424
0.875 0.125 0.250
0.375 0.750 0.625
0.125 0.875 0.750
0.125 0.250 0.875
0.750 0.875 0.625
0.250 0.625 0.875
0.250 0.125 0.375
0.875 0.750 0.125
0.750 0.375 0.125
0.625 0.250 0.375
0.625 0.375 0.750
0.375 0.625 0.250
```

No. 3
# MgTi2Sn

A relaxed MgTi2Sn crystal (PBE, the Alexandria database).

The magnetization is 0.00 μB/f.u. The density of states at the Fermi level comes out at 1.040 states/eV/atom. Its symmetry is P4/mmm. As for the formation enthalpy at 0 K: -0.17 eV/atom.

Geometry as POSCAR:
```
MgTi2Sn
1.0
-2.281 -3.099 1.998
1.293 -2.772 -2.823
3.294 -0.889 2.382
Sn Ti Mg
1 2 1
direct
0.500 0.000 0.000
0.000 0.000 0.500
0.000 0.500 0.000
0.500 0.500 0.500
```

No. 4
# MgTiSn

A relaxed MgTiSn crystal (PBE, the Alexandria database).

The magnetization is 0.70 μB/f.u. The density of states at the Fermi level comes out at 0.863 states/eV/atom. Its symmetry is P3m1. As for the formation enthalpy at 0 K: 0.00 eV/atom.

Geometry as POSCAR:
```
MgTiSn
1.0
3.137 0.000 0.000
0.000 4.729 0.000
0.000 -2.365 4.096
Sn Mg Ti
1 1 1
direct
0.739 0.667 0.333
0.914 0.000 0.000
0.347 0.333 0.667
```

Number 1: mass density 6.3 g/cm3. Number 2: mass density 4.0 g/cm3. Number 3: mass density 5.3 g/cm3. Number 4: mass density 5.2 g/cm3.